DFT (PBE) results for a relaxed structure of BaSr3Te4. Values from VASP.

Geometry as Quantum ESPRESSO input:
```
&SYSTEM
  ibrav = 0, nat = 8, ntyp = 3
/
ATOMIC_SPECIES
Ba 137.33 Ba.upf
Sr 87.62 Sr.upf
Te 127.60 Te.upf
CELL_PARAMETERS angstrom
-0.475 3.337 5.934
-6.266 -2.539 0.926
2.660 -5.384 3.241
ATOMIC_POSITIONS angstrom
Ba 0.000 0.000 0.000
Sr 1.093 -1.024 4.587
Sr -1.803 -3.961 2.083
Sr -3.370 0.399 3.430
Te 1.330 -2.692 1.620
Te -3.133 -1.269 0.463
Te -0.237 1.668 2.967
Te -2.040 -2.293 5.050
```

Output
space-group type = No. 221
theoretical density = 4.76 Mg/m³
raw formation energy = -13.9 eV per formula unit